(1)
Computed, not measured: a relaxed structure of ZrGePCl2 at the PBEsol level of DFT.

Symmetry: P4/mmm

Unit cell a=4.830 b=4.830 c=5.201 alpha=90.00 beta=90.00 gamma=90.00
Sites, in units of the cell vectors:
Zr (0.000, 0.000, 0.000)
Ge (0.500, 0.500, 0.500)
P (0.000, 0.000, 0.500)
Cl (0.000, 0.500, 0.000)
Cl (0.500, 0.000, 0.000)

(2)
Computed, not measured: a relaxed structure of RbGePb2Cl at the PBEsol level of DFT.

Symmetry: P4/mmm

Unit cell a=5.380 b=5.380 c=6.624 alpha=90.00 beta=90.00 gamma=90.00
Sites, in units of the cell vectors:
Rb (0.000, 0.000, 0.000)
Ge (0.500, 0.500, 0.500)
Pb (0.000, 0.500, 0.500)
Pb (0.500, 0.000, 0.500)
Cl (0.500, 0.500, 0.000)

(3)
Computed, not measured: a relaxed structure of Ge3PdCl at the PBEsol level of DFT.

Symmetry: Pm-3m

Unit cell a=4.759 b=4.759 c=4.759 alpha=90.00 beta=90.00 gamma=90.00
Sites, in units of the cell vectors:
Ge (0.000, 0.000, 0.500)
Ge (0.000, 0.500, 0.000)
Ge (0.500, 0.000, 0.000)
Pd (0.500, 0.500, 0.500)
Cl (0.000, 0.000, 0.000)

(4)
Computed, not measured: a relaxed structure of RbGeCl3 at the PBEsol level of DFT.

Symmetry: P2_1/m

Unit cell a=5.705 b=6.965 c=7.901 alpha=90.00 beta=106.29 gamma=90.00
Sites, in units of the cell vectors:
Rb (0.177, 0.250, 0.299)
Rb (0.823, 0.750, 0.701)
Ge (0.429, 0.250, 0.887)
Ge (0.571, 0.750, 0.113)
Cl (0.164, 0.750, 0.118)
Cl (0.315, 0.004, 0.681)
Cl (0.315, 0.496, 0.681)
Cl (0.685, 0.504, 0.319)
Cl (0.685, 0.996, 0.319)
Cl (0.836, 0.250, 0.882)

(5)
Computed, not measured: a relaxed structure of RbGeCl3 at the PBEsol level of DFT.

Symmetry: Pna2_1

Unit cell a=7.599 b=7.249 c=10.552 alpha=90.00 beta=90.00 gamma=90.00
Sites, in units of the cell vectors:
Rb (0.062, 0.019, 0.000)
Rb (0.438, 0.519, 0.500)
Rb (0.562, 0.481, 0.000)
Rb (0.938, 0.981, 0.500)
Ge (0.016, 0.509, 0.762)
Ge (0.484, 0.009, 0.262)
Ge (0.516, 0.991, 0.762)
Ge (0.984, 0.491, 0.262)
Cl (0.005, 0.437, 0.487)
Cl (0.188, 0.782, 0.722)
Cl (0.225, 0.816, 0.285)
Cl (0.275, 0.316, 0.785)
Cl (0.312, 0.282, 0.222)
Cl (0.495, 0.937, 0.987)
Cl (0.505, 0.063, 0.487)
Cl (0.688, 0.718, 0.722)
Cl (0.725, 0.684, 0.285)
Cl (0.775, 0.184, 0.785)
Cl (0.812, 0.218, 0.222)
Cl (0.995, 0.563, 0.987)

(6)
Computed, not measured: a relaxed structure of GeRh3Cl at the PBEsol level of DFT.

Symmetry: Pm-3m

Unit cell a=4.552 b=4.552 c=4.552 alpha=90.00 beta=90.00 gamma=90.00
Sites, in units of the cell vectors:
Ge (0.000, 0.000, 0.000)
Rh (0.000, 0.000, 0.500)
Rh (0.000, 0.500, 0.000)
Rh (0.500, 0.000, 0.000)
Cl (0.500, 0.500, 0.500)

(7)
Computed, not measured: a relaxed structure of Sn2GeRhCl at the PBEsol level of DFT.

Symmetry: P4/mmm

Unit cell a=5.113 b=5.113 c=4.676 alpha=90.00 beta=90.00 gamma=90.00
Sites, in units of the cell vectors:
Sn (0.000, 0.500, 0.000)
Sn (0.500, 0.000, 0.000)
Ge (0.000, 0.000, 0.500)
Rh (0.500, 0.500, 0.500)
Cl (0.000, 0.000, 0.000)

(8)
Computed, not measured: a relaxed structure of SiGeRuCl2 at the PBEsol level of DFT.

Symmetry: P4/mmm

Unit cell a=4.565 b=4.565 c=4.837 alpha=90.00 beta=90.00 gamma=90.00
Sites, in units of the cell vectors:
Si (0.000, 0.000, 0.000)
Ge (0.500, 0.500, 0.500)
Ru (0.000, 0.000, 0.500)
Cl (0.000, 0.500, 0.000)
Cl (0.500, 0.000, 0.000)

(9)
Computed, not measured: a relaxed structure of GeSbS2Cl at the PBEsol level of DFT.

Symmetry: P4/mmm

Unit cell a=5.067 b=5.067 c=4.954 alpha=90.00 beta=90.00 gamma=90.00
Sites, in units of the cell vectors:
Ge (0.000, 0.000, 0.000)
Sb (0.500, 0.500, 0.500)
S (0.000, 0.500, 0.500)
S (0.500, 0.000, 0.500)
Cl (0.500, 0.500, 0.000)

(10)
Computed, not measured: a relaxed structure of SiGeSCl2 at the PBEsol level of DFT.

Symmetry: P4/mmm

Unit cell a=4.788 b=4.788 c=4.844 alpha=90.00 beta=90.00 gamma=90.00
Sites, in units of the cell vectors:
Si (0.000, 0.000, 0.000)
Ge (0.500, 0.500, 0.500)
S (0.500, 0.500, 0.000)
Cl (0.000, 0.500, 0.500)
Cl (0.500, 0.000, 0.500)

(11)
Computed, not measured: a relaxed structure of TlGeSCl2 at the PBEsol level of DFT.

Symmetry: P4/mmm

Unit cell a=5.065 b=5.065 c=4.674 alpha=90.00 beta=90.00 gamma=90.00
Sites, in units of the cell vectors:
Tl (0.000, 0.000, 0.000)
Ge (0.500, 0.500, 0.500)
S (0.500, 0.500, 0.000)
Cl (0.000, 0.500, 0.500)
Cl (0.500, 0.000, 0.500)

(12)
Computed, not measured: a relaxed structure of Sc2GeSeCl at the PBEsol level of DFT.

Symmetry: P4/mmm

Unit cell a=4.802 b=4.802 c=4.702 alpha=90.00 beta=90.00 gamma=90.00
Sites, in units of the cell vectors:
Sc (0.000, 0.500, 0.000)
Sc (0.500, 0.000, 0.000)
Ge (0.000, 0.000, 0.500)
Se (0.500, 0.500, 0.500)
Cl (0.000, 0.000, 0.000)

no.,total energy (eV/atom),total moment (μB/f.u.),uncorrected formation energy (eV per atom)
1,-5.119,0.6,-0.35
2,-3.238,0.0,-0.04
3,-3.705,0.0,0.85
4,-3.694,0.0,-1.30
5,-3.696,0.0,-1.30
6,-5.304,2.4,0.97
7,-3.772,0.0,0.95
8,-4.276,1.3,0.70
9,-3.799,0.0,0.26
10,-3.634,0.3,0.18
11,-3.718,0.0,-0.52
12,-4.948,0.0,-0.15